The following is a GGA-PBE calculation of an optimized crystal structure of NaSr2As, from the Alexandria database.

Lattice parameters (Å, degrees): 9.0303 9.0303 8.2161 90.00 90.00 90.00
Positions (direct):
Na1 0.0000 0.0000 0.0000
Na2 0.0000 0.5000 0.2500
Na3 0.5000 0.0000 0.7500
Na4 0.5000 0.5000 0.5000
Sr1 0.1830 0.7500 0.6250
Sr2 0.2500 0.1830 0.3750
Sr3 0.2500 0.3170 0.8750
Sr4 0.3170 0.7500 0.1250
Sr5 0.6830 0.2500 0.1250
Sr6 0.7500 0.6830 0.8750
Sr7 0.7500 0.8170 0.3750
Sr8 0.8170 0.2500 0.6250
As1 0.0000 0.0000 0.5000
As2 0.0000 0.5000 0.7500
As3 0.5000 0.0000 0.2500
As4 0.5000 0.5000 0.0000

## Properties
The value obtained for the energy relative to the elements is -1.59 eV/f.u. The space group is I-42d (122). The calculated total energy is -0.2007 Ry per atom. The magnetization is 0.00 Bohr magnetons per cell.